1.
The following is a DFT calculation (PBE-GGA) of a relaxed TbNd3Ho2S6 crystal.

## Properties
Total moment, μB per formula unit: 0.0
Formation energy from raw total energies, kJ per mole of atoms: -194
Space group: C2/m, No. 12

```
data_TbNd3Ho2S6
_symmetry_space_group_name_H-M 'P 1'
_symmetry_Int_Tables_number 1
_cell_length_a 6.862
_cell_length_b 6.862
_cell_length_c 6.978
_cell_angle_alpha 99.42
_cell_angle_beta 99.42
_cell_angle_gamma 120.17
loop_
_symmetry_equiv_pos_as_xyz
'x,y,z'
loop_
_atom_site_label
_atom_site_type_symbol
_atom_site_fract_x
_atom_site_fract_y
_atom_site_fract_z
Tb1 Tb 0.000 0.000 0.000
Nd1 Nd 0.166 0.834 0.500
Nd2 Nd 0.500 0.500 0.500
Nd3 Nd 0.834 0.166 0.500
Ho1 Ho 0.333 0.667 0.000
Ho2 Ho 0.667 0.333 0.000
S1 S 0.078 0.414 0.234
S2 S 0.258 0.258 0.767
S3 S 0.414 0.078 0.234
S4 S 0.586 0.922 0.766
S5 S 0.742 0.742 0.233
S6 S 0.922 0.586 0.766
```

=====

2.
The following is a DFT calculation (PBE-GGA) of a relaxed Tb2Nd3HoS6 crystal.

## Properties
Total moment, μB per formula unit: 0.0
Formation energy from raw total energies, kJ per mole of atoms: -195
Space group: C2/m, No. 12

```
data_Tb2Nd3HoS6
_symmetry_space_group_name_H-M 'P 1'
_symmetry_Int_Tables_number 1
_cell_length_a 6.883
_cell_length_b 6.883
_cell_length_c 6.975
_cell_angle_alpha 99.45
_cell_angle_beta 99.45
_cell_angle_gamma 120.17
loop_
_symmetry_equiv_pos_as_xyz
'x,y,z'
loop_
_atom_site_label
_atom_site_type_symbol
_atom_site_fract_x
_atom_site_fract_y
_atom_site_fract_z
Tb1 Tb 0.167 0.833 0.000
Tb2 Tb 0.833 0.167 0.000
Nd1 Nd 0.000 0.000 0.500
Nd2 Nd 0.332 0.668 0.500
Nd3 Nd 0.668 0.332 0.500
Ho1 Ho 0.500 0.500 0.000
S1 S 0.091 0.422 0.765
S2 S 0.248 0.248 0.236
S3 S 0.422 0.091 0.765
S4 S 0.578 0.909 0.235
S5 S 0.752 0.752 0.764
S6 S 0.909 0.578 0.235
```

=====

3.
The following is a DFT calculation (PBE-GGA) of a relaxed TbNd3Ho3S8 crystal.

## Properties
Total moment, μB per formula unit: 0.0
Formation energy from raw total energies, kJ per mole of atoms: -198
Space group: R-3m, No. 166

```
data_TbNd3Ho3S8
_symmetry_space_group_name_H-M 'P 1'
_symmetry_Int_Tables_number 1
_cell_length_a 7.979
_cell_length_b 7.979
_cell_length_c 7.979
_cell_angle_alpha 59.28
_cell_angle_beta 59.28
_cell_angle_gamma 59.28
loop_
_symmetry_equiv_pos_as_xyz
'x,y,z'
loop_
_atom_site_label
_atom_site_type_symbol
_atom_site_fract_x
_atom_site_fract_y
_atom_site_fract_z
Tb1 Tb 0.000 0.000 0.000
Nd1 Nd 0.000 0.000 0.500
Nd2 Nd 0.000 0.500 0.000
Nd3 Nd 0.500 0.000 0.000
Ho1 Ho 0.000 0.500 0.500
Ho2 Ho 0.500 0.000 0.500
Ho3 Ho 0.500 0.500 0.000
S1 S 0.248 0.248 0.741
S2 S 0.248 0.741 0.248
S3 S 0.256 0.256 0.256
S4 S 0.259 0.752 0.752
S5 S 0.741 0.248 0.248
S6 S 0.744 0.744 0.744
S7 S 0.752 0.259 0.752
S8 S 0.752 0.752 0.259
```

=====

4.
The following is a DFT calculation (PBE-GGA) of a relaxed TbNdHo2S4 crystal.

## Properties
Total moment, μB per formula unit: 0.0
Formation energy from raw total energies, kJ per mole of atoms: -192
Space group: P2/m, No. 10

```
data_TbNdHo2S4
_symmetry_space_group_name_H-M 'P 1'
_symmetry_Int_Tables_number 1
_cell_length_a 6.823
_cell_length_b 3.896
_cell_length_c 6.891
_cell_angle_alpha 90.00
_cell_angle_beta 108.88
_cell_angle_gamma 90.00
loop_
_symmetry_equiv_pos_as_xyz
'x,y,z'
loop_
_atom_site_label
_atom_site_type_symbol
_atom_site_fract_x
_atom_site_fract_y
_atom_site_fract_z
Tb1 Tb 0.000 0.000 0.000
Nd1 Nd 0.500 0.500 0.000
Ho1 Ho 0.000 0.500 0.500
Ho2 Ho 0.500 0.000 0.500
S1 S 0.240 0.000 0.737
S2 S 0.248 0.500 0.259
S3 S 0.752 0.500 0.741
S4 S 0.760 0.000 0.263
```

=====

5.
The following is a DFT calculation (PBE-GGA) of a relaxed Tb4Nd3HoS8 crystal.

## Properties
Total moment, μB per formula unit: 0.0
Formation energy from raw total energies, kJ per mole of atoms: -193
Space group: R-3m, No. 166

```
data_Tb4Nd3HoS8
_symmetry_space_group_name_H-M 'P 1'
_symmetry_Int_Tables_number 1
_cell_length_a 7.970
_cell_length_b 7.970
_cell_length_c 7.970
_cell_angle_alpha 59.76
_cell_angle_beta 59.76
_cell_angle_gamma 59.76
loop_
_symmetry_equiv_pos_as_xyz
'x,y,z'
loop_
_atom_site_label
_atom_site_type_symbol
_atom_site_fract_x
_atom_site_fract_y
_atom_site_fract_z
Tb1 Tb 0.000 0.000 0.000
Tb2 Tb 0.000 0.500 0.500
Tb3 Tb 0.500 0.000 0.500
Tb4 Tb 0.500 0.500 0.000
Nd1 Nd 0.000 0.000 0.500
Nd2 Nd 0.000 0.500 0.000
Nd3 Nd 0.500 0.000 0.000
Ho1 Ho 0.500 0.500 0.500
S1 S 0.252 0.252 0.739
S2 S 0.252 0.739 0.252
S3 S 0.255 0.255 0.255
S4 S 0.261 0.748 0.748
S5 S 0.739 0.252 0.252
S6 S 0.745 0.745 0.745
S7 S 0.748 0.261 0.748
S8 S 0.748 0.748 0.261
```

=====

6.
The following is a DFT calculation (PBE-GGA) of a relaxed Tb3Nd3HoS8 crystal.

## Properties
Total moment, μB per formula unit: 0.0
Formation energy from raw total energies, kJ per mole of atoms: -198
Space group: R-3m, No. 166

```
data_Tb3Nd3HoS8
_symmetry_space_group_name_H-M 'P 1'
_symmetry_Int_Tables_number 1
_cell_length_a 8.005
_cell_length_b 8.005
_cell_length_c 8.005
_cell_angle_alpha 59.43
_cell_angle_beta 59.43
_cell_angle_gamma 59.43
loop_
_symmetry_equiv_pos_as_xyz
'x,y,z'
loop_
_atom_site_label
_atom_site_type_symbol
_atom_site_fract_x
_atom_site_fract_y
_atom_site_fract_z
Tb1 Tb 0.000 0.500 0.500
Tb2 Tb 0.500 0.000 0.500
Tb3 Tb 0.500 0.500 0.000
Nd1 Nd 0.000 0.000 0.500
Nd2 Nd 0.000 0.500 0.000
Nd3 Nd 0.500 0.000 0.000
Ho1 Ho 0.000 0.000 0.000
S1 S 0.245 0.245 0.746
S2 S 0.245 0.746 0.245
S3 S 0.254 0.254 0.254
S4 S 0.254 0.755 0.755
S5 S 0.746 0.245 0.245
S6 S 0.746 0.746 0.746
S7 S 0.755 0.254 0.755
S8 S 0.755 0.755 0.254
```

=====

7.
The following is a DFT calculation (PBE-GGA) of a relaxed TbNd2HoS4 crystal.

## Properties
Total moment, μB per formula unit: 0.0
Formation energy from raw total energies, kJ per mole of atoms: -194
Space group: P2/m, No. 10

```
data_TbNd2HoS4
_symmetry_space_group_name_H-M 'P 1'
_symmetry_Int_Tables_number 1
_cell_length_a 6.860
_cell_length_b 3.932
_cell_length_c 7.026
_cell_angle_alpha 90.00
_cell_angle_beta 108.78
_cell_angle_gamma 90.00
loop_
_symmetry_equiv_pos_as_xyz
'x,y,z'
loop_
_atom_site_label
_atom_site_type_symbol
_atom_site_fract_x
_atom_site_fract_y
_atom_site_fract_z
Tb1 Tb 0.000 0.000 0.000
Nd1 Nd 0.000 0.500 0.500
Nd2 Nd 0.500 0.000 0.500
Ho1 Ho 0.500 0.500 0.000
S1 S 0.247 0.500 0.235
S2 S 0.258 0.000 0.767
S3 S 0.742 0.000 0.233
S4 S 0.753 0.500 0.765
```

=====

8.
The following is a DFT calculation (PBE-GGA) of a relaxed TbNdHo4S8 crystal.

## Properties
Total moment, μB per formula unit: 0.0
Formation energy from raw total energies, kJ per mole of atoms: -186
Space group: R3m, No. 160

```
data_TbNdHo4S8
_symmetry_space_group_name_H-M 'P 1'
_symmetry_Int_Tables_number 1
_cell_length_a 8.085
_cell_length_b 8.085
_cell_length_c 8.085
_cell_angle_alpha 59.87
_cell_angle_beta 59.87
_cell_angle_gamma 59.87
loop_
_symmetry_equiv_pos_as_xyz
'x,y,z'
loop_
_atom_site_label
_atom_site_type_symbol
_atom_site_fract_x
_atom_site_fract_y
_atom_site_fract_z
Tb1 Tb 0.000 0.000 0.000
Nd1 Nd 0.375 0.375 0.375
Ho1 Ho 0.000 0.000 0.503
Ho2 Ho 0.000 0.503 0.000
Ho3 Ho 0.503 0.000 0.000
Ho4 Ho 0.626 0.626 0.626
S1 S 0.231 0.756 0.756
S2 S 0.239 0.239 0.239
S3 S 0.241 0.241 0.784
S4 S 0.241 0.784 0.241
S5 S 0.756 0.231 0.756
S6 S 0.756 0.756 0.231
S7 S 0.758 0.758 0.758
S8 S 0.784 0.241 0.241
```

=====

9.
The following is a DFT calculation (PBE-GGA) of a relaxed Tb3NdHo2S6 crystal.

## Properties
Total moment, μB per formula unit: 0.0
Formation energy from raw total energies, kJ per mole of atoms: -193
Space group: C2/m, No. 12

```
data_Tb3NdHo2S6
_symmetry_space_group_name_H-M 'P 1'
_symmetry_Int_Tables_number 1
_cell_length_a 6.828
_cell_length_b 6.828
_cell_length_c 6.812
_cell_angle_alpha 99.59
_cell_angle_beta 99.59
_cell_angle_gamma 120.18
loop_
_symmetry_equiv_pos_as_xyz
'x,y,z'
loop_
_atom_site_label
_atom_site_type_symbol
_atom_site_fract_x
_atom_site_fract_y
_atom_site_fract_z
Tb1 Tb 0.000 0.000 0.000
Tb2 Tb 0.338 0.662 0.000
Tb3 Tb 0.662 0.338 0.000
Nd1 Nd 0.500 0.500 0.500
Ho1 Ho 0.166 0.834 0.500
Ho2 Ho 0.834 0.166 0.500
S1 S 0.072 0.416 0.247
S2 S 0.239 0.239 0.749
S3 S 0.416 0.072 0.247
S4 S 0.584 0.928 0.753
S5 S 0.761 0.761 0.251
S6 S 0.928 0.584 0.753
```

=====

10.
The following is a DFT calculation (PBE-GGA) of a relaxed Tb4NdHo3S8 crystal.

## Properties
Total moment, μB per formula unit: 0.0
Formation energy from raw total energies, kJ per mole of atoms: -192
Space group: R-3m, No. 166

```
data_Tb4NdHo3S8
_symmetry_space_group_name_H-M 'P 1'
_symmetry_Int_Tables_number 1
_cell_length_a 7.857
_cell_length_b 7.857
_cell_length_c 7.857
_cell_angle_alpha 60.07
_cell_angle_beta 60.07
_cell_angle_gamma 60.07
loop_
_symmetry_equiv_pos_as_xyz
'x,y,z'
loop_
_atom_site_label
_atom_site_type_symbol
_atom_site_fract_x
_atom_site_fract_y
_atom_site_fract_z
Tb1 Tb 0.000 0.000 0.000
Tb2 Tb 0.000 0.500 0.500
Tb3 Tb 0.500 0.000 0.500
Tb4 Tb 0.500 0.500 0.000
Nd1 Nd 0.500 0.500 0.500
Ho1 Ho 0.000 0.000 0.500
Ho2 Ho 0.000 0.500 0.000
Ho3 Ho 0.500 0.000 0.000
S1 S 0.242 0.754 0.754
S2 S 0.246 0.246 0.758
S3 S 0.246 0.758 0.246
S4 S 0.248 0.248 0.248
S5 S 0.752 0.752 0.752
S6 S 0.754 0.242 0.754
S7 S 0.754 0.754 0.242
S8 S 0.758 0.246 0.246
```

=====

Copy entry 5 word for word.
The following is a DFT calculation (PBE-GGA) of a relaxed Tb4Nd3HoS8 crystal.

## Properties
Total moment, μB per formula unit: 0.0
Formation energy from raw total energies, kJ per mole of atoms: -193
Space group: R-3m, No. 166

```
data_Tb4Nd3HoS8
_symmetry_space_group_name_H-M 'P 1'
_symmetry_Int_Tables_number 1
_cell_length_a 7.970
_cell_length_b 7.970
_cell_length_c 7.970
_cell_angle_alpha 59.76
_cell_angle_beta 59.76
_cell_angle_gamma 59.76
loop_
_symmetry_equiv_pos_as_xyz
'x,y,z'
loop_
_atom_site_label
_atom_site_type_symbol
_atom_site_fract_x
_atom_site_fract_y
_atom_site_fract_z
Tb1 Tb 0.000 0.000 0.000
Tb2 Tb 0.000 0.500 0.500
Tb3 Tb 0.500 0.000 0.500
Tb4 Tb 0.500 0.500 0.000
Nd1 Nd 0.000 0.000 0.500
Nd2 Nd 0.000 0.500 0.000
Nd3 Nd 0.500 0.000 0.000
Ho1 Ho 0.500 0.500 0.500
S1 S 0.252 0.252 0.739
S2 S 0.252 0.739 0.252
S3 S 0.255 0.255 0.255
S4 S 0.261 0.748 0.748
S5 S 0.739 0.252 0.252
S6 S 0.745 0.745 0.745
S7 S 0.748 0.261 0.748
S8 S 0.748 0.748 0.261
```